(1)
Below is an optimized crystal structure of Ca2Tb4Sb3N2, with properties calculated at the PBE level.

The structure in CIF format:
```
data_Ca2Tb4Sb3N2
_cell_length_a 4.7410
_cell_length_b 4.7410
_cell_length_c 25.0255
_cell_angle_alpha 90.00
_cell_angle_beta 90.00
_cell_angle_gamma 90.00
_space_group_name_H-M_alt 'I 4/m m m'
_space_group_IT_number 139
_space_group_name_Hall '-I 4 2'
loop_
_atom_site_label
_atom_site_fract_x
_atom_site_fract_y
_atom_site_fract_z
Ca1 0.0000 0.0000 0.1935
Tb1 0.0000 0.5000 0.0854
Sb1 0.0000 0.0000 0.3234
Sb2 0.0000 0.0000 0.5000
N1 0.0000 0.0000 0.0972
```

Results
* E: -5.880 eV per atom
* ΔE_f (raw): -115.2 kJ per mole of atoms
* magnetization: 0.00 μB/atom

---

(2)
Below is an optimized crystal structure of CaTcSb2N, with properties calculated at the PBE level.

The structure in CIF format:
```
data_CaTcSb2N
_cell_length_a 5.1538
_cell_length_b 5.1538
_cell_length_c 3.8598
_cell_angle_alpha 90.00
_cell_angle_beta 90.00
_cell_angle_gamma 90.00
_space_group_name_H-M_alt 'P 4/m m m'
_space_group_IT_number 123
_space_group_name_Hall '-P 4 2'
loop_
_atom_site_label
_atom_site_fract_x
_atom_site_fract_y
_atom_site_fract_z
Ca1 0.0000 0.0000 0.0000
Tc1 0.5000 0.5000 0.0000
Sb1 0.0000 0.5000 0.5000
N1 0.5000 0.5000 0.5000
```

Results
* E: -5.749 eV per atom
* ΔE_f (raw): 3.7 kJ per mole of atoms
* magnetization: 0.00 μB/atom

---

(3)
Below is an optimized crystal structure of CaSbTeN2, with properties calculated at the PBE level.

The structure in CIF format:
```
data_CaSbTeN2
_cell_length_a 4.6125
_cell_length_b 4.6125
_cell_length_c 6.2897
_cell_angle_alpha 90.00
_cell_angle_beta 90.00
_cell_angle_gamma 90.00
_space_group_name_H-M_alt 'P 4/m m m'
_space_group_IT_number 123
_space_group_name_Hall '-P 4 2'
loop_
_atom_site_label
_atom_site_fract_x
_atom_site_fract_y
_atom_site_fract_z
Ca1 0.0000 0.0000 0.0000
Sb1 0.5000 0.5000 0.5000
Te1 0.0000 0.0000 0.5000
N1 0.0000 0.5000 0.0000
```

Results
* E: -3.973 eV per atom
* ΔE_f (raw): 116.8 kJ per mole of atoms
* magnetization: 0.64 μB/atom

---

(4)
Below is an optimized crystal structure of CaSbTeN2, with properties calculated at the PBE level.

The structure in CIF format:
```
data_CaSbTeN2
_cell_length_a 4.2280
_cell_length_b 4.2280
_cell_length_c 6.0891
_cell_angle_alpha 90.00
_cell_angle_beta 90.00
_cell_angle_gamma 90.00
_space_group_name_H-M_alt 'P 4/m m m'
_space_group_IT_number 123
_space_group_name_Hall '-P 4 2'
loop_
_atom_site_label
_atom_site_fract_x
_atom_site_fract_y
_atom_site_fract_z
Ca1 0.0000 0.0000 0.0000
Sb1 0.5000 0.5000 0.5000
Te1 0.5000 0.5000 0.0000
N1 0.0000 0.5000 0.5000
```

Results
* E: -4.627 eV per atom
* ΔE_f (raw): 53.6 kJ per mole of atoms
* magnetization: 0.23 μB/atom

---

(5)
Below is an optimized crystal structure of CaSb2TeN, with properties calculated at the PBE level.

The structure in CIF format:
```
data_CaSb2TeN
_cell_length_a 5.8458
_cell_length_b 5.8458
_cell_length_c 5.7752
_cell_angle_alpha 90.00
_cell_angle_beta 90.00
_cell_angle_gamma 90.00
_space_group_name_H-M_alt 'P 4/m m m'
_space_group_IT_number 123
_space_group_name_Hall '-P 4 2'
loop_
_atom_site_label
_atom_site_fract_x
_atom_site_fract_y
_atom_site_fract_z
Ca1 0.0000 0.0000 0.0000
Sb1 0.0000 0.5000 0.0000
Te1 0.0000 0.0000 0.5000
N1 0.5000 0.5000 0.5000
```

Results
* E: -2.954 eV per atom
* ΔE_f (raw): 134.0 kJ per mole of atoms
* magnetization: 0.55 μB/atom

---

(6)
Below is an optimized crystal structure of CaSb2TeN, with properties calculated at the PBE level.

The structure in CIF format:
```
data_CaSb2TeN
_cell_length_a 4.9021
_cell_length_b 4.9021
_cell_length_c 4.7897
_cell_angle_alpha 90.00
_cell_angle_beta 90.00
_cell_angle_gamma 90.00
_space_group_name_H-M_alt 'P 4/m m m'
_space_group_IT_number 123
_space_group_name_Hall '-P 4 2'
loop_
_atom_site_label
_atom_site_fract_x
_atom_site_fract_y
_atom_site_fract_z
Ca1 0.0000 0.0000 0.0000
Sb1 0.0000 0.5000 0.5000
Te1 0.5000 0.5000 0.0000
N1 0.5000 0.5000 0.5000
```

Results
* E: -4.221 eV per atom
* ΔE_f (raw): 11.7 kJ per mole of atoms
* magnetization: 0.00 μB/atom

---

(7)
Below is an optimized crystal structure of Ca2ThSbN4, with properties calculated at the PBE level.

The structure in CIF format:
```
data_Ca2ThSbN4
_cell_length_a 6.0781
_cell_length_b 3.5708
_cell_length_c 6.1420
_cell_angle_alpha 90.00
_cell_angle_beta 109.20
_cell_angle_gamma 90.00
_space_group_name_H-M_alt 'P 1 2/m 1'
_space_group_IT_number 10
loop_
_space_group_symop_operation_xyz
'x,y,z'
'-x,-y,-z'
'-x,y,-z'
'x,-y,z'
loop_
_atom_site_label
_atom_site_fract_x
_atom_site_fract_y
_atom_site_fract_z
Ca1 0.0000 0.0000 0.0000
Ca2 0.5000 0.5000 0.0000
Th1 0.0000 0.5000 0.5000
Sb1 0.5000 0.0000 0.5000
N1 0.2447 0.0000 0.7306
N2 0.2593 0.5000 0.2687
```

Results
* E: -6.840 eV per atom
* ΔE_f (raw): -70.9 kJ per mole of atoms
* magnetization: 0.00 μB/atom

---

(8)
Below is an optimized crystal structure of Ca2TlSbN, with properties calculated at the PBE level.

The structure in CIF format:
```
data_Ca2TlSbN
_cell_length_a 4.9602
_cell_length_b 4.9602
_cell_length_c 4.7744
_cell_angle_alpha 90.00
_cell_angle_beta 90.00
_cell_angle_gamma 90.00
_space_group_name_H-M_alt 'P 4/m m m'
_space_group_IT_number 123
_space_group_name_Hall '-P 4 2'
loop_
_atom_site_label
_atom_site_fract_x
_atom_site_fract_y
_atom_site_fract_z
Ca1 0.0000 0.5000 0.0000
Tl1 0.0000 0.0000 0.5000
Sb1 0.5000 0.5000 0.5000
N1 0.0000 0.0000 0.0000
```

Results
* E: -4.350 eV per atom
* ΔE_f (raw): -56.6 kJ per mole of atoms
* magnetization: 0.00 μB/atom

---

(9)
Below is an optimized crystal structure of Ca2VSbN, with properties calculated at the PBE level.

The structure in CIF format:
```
data_Ca2VSbN
_cell_length_a 5.8686
_cell_length_b 5.8686
_cell_length_c 3.7050
_cell_angle_alpha 90.00
_cell_angle_beta 90.00
_cell_angle_gamma 90.00
_space_group_name_H-M_alt 'P 4/m m m'
_space_group_IT_number 123
_space_group_name_Hall '-P 4 2'
loop_
_atom_site_label
_atom_site_fract_x
_atom_site_fract_y
_atom_site_fract_z
Ca1 0.0000 0.5000 0.0000
V1 0.0000 0.0000 0.0000
Sb1 0.5000 0.5000 0.5000
N1 0.0000 0.0000 0.5000
```

Results
* E: -5.185 eV per atom
* ΔE_f (raw): -6.9 kJ per mole of atoms
* magnetization: 0.55 μB/atom

---

(10)
Below is an optimized crystal structure of CaYSb2N, with properties calculated at the PBE level.

The structure in CIF format:
```
data_CaYSb2N
_cell_length_a 5.7280
_cell_length_b 5.7280
_cell_length_c 4.2261
_cell_angle_alpha 90.00
_cell_angle_beta 90.00
_cell_angle_gamma 90.00
_space_group_name_H-M_alt 'P 4/m m m'
_space_group_IT_number 123
_space_group_name_Hall '-P 4 2'
loop_
_atom_site_label
_atom_site_fract_x
_atom_site_fract_y
_atom_site_fract_z
Ca1 0.0000 0.0000 0.0000
Y1 0.5000 0.5000 0.5000
Sb1 0.0000 0.5000 0.0000
N1 0.0000 0.0000 0.5000
```

Results
* E: -4.519 eV per atom
* ΔE_f (raw): 47.1 kJ per mole of atoms
* magnetization: 0.00 μB/atom

---

(11)
Below is an optimized crystal structure of CaY2SbN, with properties calculated at the PBE level.

The structure in CIF format:
```
data_CaY2SbN
_cell_length_a 4.7897
_cell_length_b 4.7897
_cell_length_c 4.8671
_cell_angle_alpha 90.00
_cell_angle_beta 90.00
_cell_angle_gamma 90.00
_space_group_name_H-M_alt 'P 4/m m m'
_space_group_IT_number 123
_space_group_name_Hall '-P 4 2'
loop_
_atom_site_label
_atom_site_fract_x
_atom_site_fract_y
_atom_site_fract_z
Ca1 0.0000 0.0000 0.0000
Y1 0.0000 0.5000 0.5000
Sb1 0.5000 0.5000 0.0000
N1 0.0000 0.0000 0.5000
```

Results
* E: -6.503 eV per atom
* ΔE_f (raw): -99.1 kJ per mole of atoms
* magnetization: 0.00 μB/atom

---

(12)
Below is an optimized crystal structure of Ca2Y4Sb3N2, with properties calculated at the PBE level.

The structure in CIF format:
```
data_Ca2Y4Sb3N2
_cell_length_a 4.7251
_cell_length_b 4.7251
_cell_length_c 24.9911
_cell_angle_alpha 90.00
_cell_angle_beta 90.00
_cell_angle_gamma 90.00
_space_group_name_H-M_alt 'I 4/m m m'
_space_group_IT_number 139
_space_group_name_Hall '-I 4 2'
loop_
_atom_site_label
_atom_site_fract_x
_atom_site_fract_y
_atom_site_fract_z
Ca1 0.0000 0.0000 0.1933
Y1 0.0000 0.5000 0.0852
Sb1 0.0000 0.0000 0.3235
Sb2 0.0000 0.0000 0.5000
N1 0.0000 0.0000 0.0964
```

Results
* E: -6.563 eV per atom
* ΔE_f (raw): -116.8 kJ per mole of atoms
* magnetization: 0.00 μB/atom

---

(13)
Below is an optimized crystal structure of Ca2YSbN, with properties calculated at the PBE level.

The structure in CIF format:
```
data_Ca2YSbN
_cell_length_a 4.8721
_cell_length_b 4.8721
_cell_length_c 4.7735
_cell_angle_alpha 90.00
_cell_angle_beta 90.00
_cell_angle_gamma 90.00
_space_group_name_H-M_alt 'P 4/m m m'
_space_group_IT_number 123
_space_group_name_Hall '-P 4 2'
loop_
_atom_site_label
_atom_site_fract_x
_atom_site_fract_y
_atom_site_fract_z
Ca1 0.0000 0.5000 0.0000
Y1 0.0000 0.0000 0.5000
Sb1 0.5000 0.5000 0.5000
N1 0.0000 0.0000 0.0000
```

Results
* E: -5.636 eV per atom
* ΔE_f (raw): -101.6 kJ per mole of atoms
* magnetization: 0.00 μB/atom